This record from the Open Quantum Materials Database describes an optimized crystal structure of ScUAl. The functional is PBE-GGA.

**ΔE to the lowest computed polymorph**: 0.4343 eV/atom
**Density**: 6.4 g/cm3
**Total energy**: -18.289 eV for the cell shown
**SG**: F-43m, No. 216

a b c (Å): 4.836 4.836 4.836
angles (deg): 60.00 60.00 60.00
Fractional coordinates of all 3 atoms:
Sc: 0.750 0.750 0.750
U: 0.000 0.000 0.000
Al: 0.250 0.250 0.250

---

This record from the Open Quantum Materials Database describes an optimized crystal structure of AlNiMo. The functional is PBE-GGA.

**ΔE to the lowest computed polymorph**: 0.0000 eV/atom
**Density**: 6.6 g/cm3
**Total energy**: -20.062 eV for the cell shown
**SG**: F-43m, No. 216

a b c (Å): 4.011 4.011 4.011
angles (deg): 60.00 60.00 60.00
Fractional coordinates of all 3 atoms:
Ni: 0.000 0.000 0.000
Mo: 0.750 0.750 0.750
Al: 0.250 0.250 0.250

---

This record from the Open Quantum Materials Database describes an optimized crystal structure of AcCdPb. The functional is PBE-GGA.

**ΔE to the lowest computed polymorph**: 0.0000 eV/atom
**Density**: 8.8 g/cm3
**Total energy**: -9.504 eV for the cell shown
**SG**: F-43m, No. 216

a b c (Å): 5.259 5.259 5.259
angles (deg): 60.00 60.00 60.00
Fractional coordinates of all 3 atoms:
Ac: 0.250 0.250 0.250
Cd: 0.000 0.000 0.000
Pb: 0.750 0.750 0.750